Entry 1:
{"formula": "LiTcTe2I", "functional": "PBE-GGA", "state": "optimized geometry", "dos_at_fermi_per_ev_atom": 0.791, "spacegroup": "P4/mmm, No. 123", "crystal_system": "tetragonal", "formation_energy_uncorrected_ev_per_atom": 0.136, "lattice_angstrom": [[-4.740, -0.666, 1.900], [0.818, -5.078, 0.261], [2.170, 0.639, 5.636]], "species": ["I", "Te", "Te", "Tc", "Li"], "frac_coords": [[0.000, 0.000, 0.500], [0.000, 0.500, 0.000], [0.500, 0.000, 0.000], [0.000, 0.000, 0.000], [0.500, 0.500, 0.500]]}


Entry 2:
{"formula": "NaTlHPb2", "functional": "PBE-GGA", "state": "optimized geometry", "dos_at_fermi_per_ev_atom": 0.401, "e_tot_ev_per_atom": -2.83, "spacegroup": "P4/mmm, No. 123", "crystal_system": "tetragonal", "lattice_angstrom": [[-2.064, -1.825, -4.182], [-1.710, -3.946, 2.566], [-4.100, 2.409, 0.972]], "species": ["Pb", "Pb", "Na", "Tl", "H"], "frac_coords": [[0.000, 0.500, 0.000], [0.500, 0.000, 0.000], [0.000, 0.000, 0.500], [0.500, 0.500, 0.500], [0.000, 0.000, 0.000]]}


Entry 3:
{"formula": "NaSr2Tl2", "functional": "PBE-GGA", "state": "optimized geometry", "ef_mev_per_atom": -37, "dos_at_fermi_per_ev_atom": 1.031, "spacegroup": "I4/mmm, No. 139", "crystal_system": "tetragonal", "lattice_angstrom": [[-1.556, 3.941, 1.730], [-4.044, -0.709, -2.021], [-5.980, -3.169, 7.896]], "species": ["Sr", "Sr", "Tl", "Tl", "Na"], "frac_coords": [[0.387, 0.387, 0.226], [0.613, 0.613, 0.774], [0.750, 0.250, 0.500], [0.250, 0.750, 0.500], [0.000, 0.000, 0.000]]}